Record 1
This record from Alexandria describes an optimized crystal structure of TcTe2Ru. The functional is PBE.

Values from the calculation:
* mass density: 9.66 Mg/m³
* crystal system: orthorhombic
* uncorrected formation energy: 0.81 eV per atom

Lattice parameters (Å, degrees): 3.262 4.316 5.544 90.00 90.00 90.00
Space group Pmmm (No. 47)
Unique sites:
Tc 0.000 0.000 0.000
Te 0.000 0.500 0.500
Te 0.500 0.500 0.000
Ru 0.500 0.000 0.500

=====

Record 2
This record from Alexandria describes an optimized crystal structure of TcTe2Ru. The functional is PBE.

Values from the calculation:
* mass density: 10.08 Mg/m³
* crystal system: monoclinic
* uncorrected formation energy: 0.31 eV per atom

Lattice parameters (Å, degrees): 9.716 3.329 4.719 90.00 101.40 90.00
Space group Cm (No. 8)
Unique sites:
Tc 0.000 0.000 0.000
Te 0.011 0.500 0.462
Te 0.269 0.000 0.890
Ru 0.275 0.500 0.367

=====

| no. | density of states at the Fermi level (states/eV per atom) |
| --- | --- |
| 1 | 1.4221 |
| 2 | 1.0187 |